The following is a GGA-PBE calculation of crystalline ZrMn2Ru at its relaxed geometry, from the Alexandria database.

The total energy comes out at -36.483 eV per cell. Its mass density is 8.132 g cm⁻³. The value obtained for the energy of formation is -0.08 eV per atom.

a b c (Å): 3.178 3.178 6.108
angles (deg): 90.00 90.00 90.00
Fractional positions:
1 Zr 0.000 0.000 0.000
2 Mn 0.000 0.000 0.495
3 Mn 0.500 0.500 0.288
4 Ru 0.500 0.500 0.738